A relaxed structure of Dy3NiPt2, computed with GGA-PBE.

CIF file:
```
data_Dy3NiPt2
_cell_length_a 4.0764
_cell_length_b 11.4133
_cell_length_c 11.3931
_cell_angle_alpha 90.00
_cell_angle_beta 90.00
_cell_angle_gamma 90.00
_space_group_name_H-M_alt 'P 1'
_space_group_IT_number 1
_space_group_name_Hall 'P 1'
loop_
_atom_site_label
_atom_site_type_symbol
_atom_site_fract_x
_atom_site_fract_y
_atom_site_fract_z
Pt1 Pt 0.7500 0.9952 0.6837
Pt2 Pt 0.2500 0.8088 0.9935
Pt3 Pt 0.7500 0.1912 0.0065
Pt4 Pt 0.2500 0.6912 0.4935
Pt5 Pt 0.2500 0.4952 0.8163
Pt6 Pt 0.2500 0.0048 0.3163
Pt7 Pt 0.7500 0.3088 0.5065
Pt8 Pt 0.7500 0.5048 0.1837
Dy1 Dy 0.7500 0.5577 0.6220
Dy2 Dy 0.7500 0.9423 0.1220
Dy3 Dy 0.7500 0.1939 0.2825
Dy4 Dy 0.7500 0.3061 0.7825
Dy5 Dy 0.2500 0.1244 0.5501
Dy6 Dy 0.2500 0.6939 0.2175
Dy7 Dy 0.2500 0.8061 0.7175
Dy8 Dy 0.2500 0.3756 0.0501
Dy9 Dy 0.2500 0.0577 0.8780
Dy10 Dy 0.7500 0.8756 0.4499
Dy11 Dy 0.2500 0.4423 0.3780
Dy12 Dy 0.7500 0.6244 0.9499
Ni1 Ni 0.7500 0.6268 0.3763
Ni2 Ni 0.2500 0.1268 0.1237
Ni3 Ni 0.7500 0.8732 0.8763
Ni4 Ni 0.2500 0.3732 0.6237
```

Summary:
The energy relative to the elements comes out at -986 meV/atom. The calculation puts the total energy at -6.26 eV per atom. As for the crystal system: orthorhombic. Its calculated volume is 530.1 Å³/cell.